Record 1
Below is crystalline PaFe2Re at its relaxed geometry, with properties calculated at the PBE level.

Lattice parameters (Å, degrees): 4.4235 4.4235 10.8554 90.00 90.00 120.00
Atoms (fractional coordinates):
Pa: 0.0000 0.0000 0.0000
Pa: 0.3333 0.6667 0.6667
Pa: 0.6667 0.3333 0.3333
Fe: 0.0000 0.0000 0.2770
Fe: 0.0000 0.0000 0.7230
Fe: 0.3333 0.6667 0.3897
Fe: 0.3333 0.6667 0.9437
Fe: 0.6667 0.3333 0.0563
Fe: 0.6667 0.3333 0.6103
Re: 0.0000 0.0000 0.5000
Re: 0.3333 0.6667 0.1667
Re: 0.6667 0.3333 0.8333

## Properties
energy above the lowest structure with this stoichiometry	115.5	meV per atom
DOS(E_F)	17.8	states/eV per cell
energy relative to the elements	0.204	eV/atom
raw total energy	-114.166	eV per cell
space group	R-3m (166)
total magnetic moment	0.00	μB/atom

Record 2
Below is crystalline ScPaFeRe at its relaxed geometry, with properties calculated at the PBE level.

Lattice parameters (Å, degrees): 6.6213 6.6213 6.6213 90.00 90.00 90.00
Atoms (fractional coordinates):
Sc: 0.0000 0.0000 0.0000
Sc: 0.0000 0.5000 0.5000
Sc: 0.5000 0.0000 0.5000
Sc: 0.5000 0.5000 0.0000
Pa: 0.0000 0.0000 0.5000
Pa: 0.0000 0.5000 0.0000
Pa: 0.5000 0.0000 0.0000
Pa: 0.5000 0.5000 0.5000
Fe: 0.2500 0.2500 0.2500
Fe: 0.2500 0.7500 0.7500
Fe: 0.7500 0.2500 0.7500
Fe: 0.7500 0.7500 0.2500
Re: 0.2500 0.2500 0.7500
Re: 0.2500 0.7500 0.2500
Re: 0.7500 0.2500 0.2500
Re: 0.7500 0.7500 0.7500

## Properties
DOS(E_F)	14.2	states/eV per cell
energy relative to the elements	-0.103	eV/atom
raw total energy	-148.594	eV per cell
space group	F-43m (216)
total magnetic moment	0.26	μB/atom

Record 3
Below is crystalline PaFeReSi2 at its relaxed geometry, with properties calculated at the PBE level.

Lattice parameters (Å, degrees): 4.0990 4.0990 9.6152 90.00 90.00 90.00
Atoms (fractional coordinates):
Pa: 0.0000 0.0000 0.0000
Pa: 0.5000 0.5000 0.5000
Fe: 0.0000 0.5000 0.2500
Fe: 0.5000 0.0000 0.7500
Re: 0.0000 0.5000 0.7500
Re: 0.5000 0.0000 0.2500
Si: 0.0000 0.0000 0.3740
Si: 0.0000 0.0000 0.6260
Si: 0.5000 0.5000 0.1260
Si: 0.5000 0.5000 0.8740

## Properties
DOS(E_F)	11.6	states/eV per cell
raw total energy	-87.653	eV per cell
formation energy from raw total energies	-0.51	eV per atom
space group	I-4m2 (119)
total magnetic moment	0.02	μB/atom

Record 4
Below is crystalline PaFeReSn at its relaxed geometry, with properties calculated at the PBE level.

Lattice parameters (Å, degrees): 6.6384 6.6384 6.6384 90.00 90.00 90.00
Atoms (fractional coordinates):
Pa: 0.0000 0.0000 0.0000
Pa: 0.0000 0.5000 0.5000
Pa: 0.5000 0.0000 0.5000
Pa: 0.5000 0.5000 0.0000
Fe: 0.2500 0.2500 0.7500
Fe: 0.2500 0.7500 0.2500
Fe: 0.7500 0.2500 0.2500
Fe: 0.7500 0.7500 0.7500
Re: 0.2500 0.2500 0.2500
Re: 0.2500 0.7500 0.7500
Re: 0.7500 0.2500 0.7500
Re: 0.7500 0.7500 0.2500
Sn: 0.0000 0.0000 0.5000
Sn: 0.0000 0.5000 0.0000
Sn: 0.5000 0.0000 0.0000
Sn: 0.5000 0.5000 0.5000

## Properties
DOS(E_F)	10.3	states/eV per cell
energy relative to the elements	0.090	eV/atom
raw total energy	-136.205	eV per cell
space group	F-43m (216)
total magnetic moment	0.04	μB/atom

Record 5
Below is crystalline PaFeReTc at its relaxed geometry, with properties calculated at the PBE level.

Lattice parameters (Å, degrees): 6.4545 6.4545 6.4545 90.00 90.00 90.00
Atoms (fractional coordinates):
Pa: 0.0000 0.0000 0.0000
Pa: 0.0000 0.5000 0.5000
Pa: 0.5000 0.0000 0.5000
Pa: 0.5000 0.5000 0.0000
Fe: 0.0000 0.0000 0.5000
Fe: 0.0000 0.5000 0.0000
Fe: 0.5000 0.0000 0.0000
Fe: 0.5000 0.5000 0.5000
Re: 0.2500 0.2500 0.2500
Re: 0.2500 0.7500 0.7500
Re: 0.7500 0.2500 0.7500
Re: 0.7500 0.7500 0.2500
Tc: 0.2500 0.2500 0.7500
Tc: 0.2500 0.7500 0.2500
Tc: 0.7500 0.2500 0.2500
Tc: 0.7500 0.7500 0.7500

## Properties
DOS(E_F)	16.6	states/eV per cell
energy relative to the elements	0.172	eV/atom
raw total energy	-160.333	eV per cell
space group	F-43m (216)
total magnetic moment	0.94	μB/atom

Record 6
Below is crystalline PaTiFeRe at its relaxed geometry, with properties calculated at the PBE level.

Lattice parameters (Å, degrees): 6.4918 6.4918 6.4918 90.00 90.00 90.00
Atoms (fractional coordinates):
Pa: 0.0000 0.0000 0.0000
Pa: 0.0000 0.5000 0.5000
Pa: 0.5000 0.0000 0.5000
Pa: 0.5000 0.5000 0.0000
Ti: 0.0000 0.0000 0.5000
Ti: 0.0000 0.5000 0.0000
Ti: 0.5000 0.0000 0.0000
Ti: 0.5000 0.5000 0.5000
Fe: 0.2500 0.2500 0.2500
Fe: 0.2500 0.7500 0.7500
Fe: 0.7500 0.2500 0.7500
Fe: 0.7500 0.7500 0.2500
Re: 0.2500 0.2500 0.7500
Re: 0.2500 0.7500 0.2500
Re: 0.7500 0.2500 0.2500
Re: 0.7500 0.7500 0.7500

## Properties
DOS(E_F)	13.2	states/eV per cell
energy relative to the elements	-0.103	eV/atom
raw total energy	-154.858	eV per cell
space group	F-43m (216)
total magnetic moment	0.17	μB/atom

Record 7
Below is crystalline TmPaFeRe at its relaxed geometry, with properties calculated at the PBE level.

Lattice parameters (Å, degrees): 6.7691 6.7691 6.7691 90.00 90.00 90.00
Atoms (fractional coordinates):
Tm: 0.0000 0.0000 0.0000
Tm: 0.0000 0.5000 0.5000
Tm: 0.5000 0.0000 0.5000
Tm: 0.5000 0.5000 0.0000
Pa: 0.0000 0.0000 0.5000
Pa: 0.0000 0.5000 0.0000
Pa: 0.5000 0.0000 0.0000
Pa: 0.5000 0.5000 0.5000
Fe: 0.2500 0.2500 0.7500
Fe: 0.2500 0.7500 0.2500
Fe: 0.7500 0.2500 0.2500
Fe: 0.7500 0.7500 0.7500
Re: 0.2500 0.2500 0.2500
Re: 0.2500 0.7500 0.7500
Re: 0.7500 0.2500 0.7500
Re: 0.7500 0.7500 0.2500

## Properties
DOS(E_F)	15.8	states/eV per cell
energy relative to the elements	0.016	eV/atom
raw total energy	-139.263	eV per cell
space group	F-43m (216)
total magnetic moment	0.30	μB/atom

Record 8
Below is crystalline ZrPaFeRe at its relaxed geometry, with properties calculated at the PBE level.

Lattice parameters (Å, degrees): 6.6741 6.6741 6.6741 90.00 90.00 90.00
Atoms (fractional coordinates):
Zr: 0.0000 0.0000 0.0000
Zr: 0.0000 0.5000 0.5000
Zr: 0.5000 0.0000 0.5000
Zr: 0.5000 0.5000 0.0000
Pa: 0.0000 0.0000 0.5000
Pa: 0.0000 0.5000 0.0000
Pa: 0.5000 0.0000 0.0000
Pa: 0.5000 0.5000 0.5000
Fe: 0.2500 0.2500 0.2500
Fe: 0.2500 0.7500 0.7500
Fe: 0.7500 0.2500 0.7500
Fe: 0.7500 0.7500 0.2500
Re: 0.2500 0.2500 0.7500
Re: 0.2500 0.7500 0.2500
Re: 0.7500 0.2500 0.2500
Re: 0.7500 0.7500 0.7500

## Properties
DOS(E_F)	11.8	states/eV per cell
energy relative to the elements	-0.075	eV/atom
raw total energy	-157.025	eV per cell
space group	F-43m (216)
total magnetic moment	0.20	μB/atom

Record 9
Below is crystalline PaFe4Rh at its relaxed geometry, with properties calculated at the PBE level.

Lattice parameters (Å, degrees): 4.9642 4.9642 4.9642 60.00 60.00 60.00
Atoms (fractional coordinates):
Pa: 0.0000 0.0000 0.0000
Fe: 0.1262 0.6246 0.6246
Fe: 0.6246 0.1262 0.6246
Fe: 0.6246 0.6246 0.1262
Fe: 0.6246 0.6246 0.6246
Rh: 0.2500 0.2500 0.2500

## Properties
DOS(E_F)	5.8	states/eV per cell
energy relative to the elements	-0.141	eV/atom
raw total energy	-51.544	eV per cell
space group	F-43m (216)
total magnetic moment	1.60	μB/atom

Record 10
Below is crystalline Pa2FeRh9 at its relaxed geometry, with properties calculated at the PBE level.

Lattice parameters (Å, degrees): 4.0000 4.0000 11.8283 90.00 90.00 90.00
Atoms (fractional coordinates):
Pa: 0.0000 0.0000 0.1740
Pa: 0.0000 0.0000 0.8260
Fe: 0.0000 0.0000 0.5000
Rh: 0.0000 0.5000 0.0000
Rh: 0.0000 0.5000 0.3471
Rh: 0.0000 0.5000 0.6529
Rh: 0.5000 0.0000 0.0000
Rh: 0.5000 0.0000 0.3471
Rh: 0.5000 0.0000 0.6529
Rh: 0.5000 0.5000 0.1734
Rh: 0.5000 0.5000 0.5000
Rh: 0.5000 0.5000 0.8266

## Properties
DOS(E_F)	10.8	states/eV per cell
energy relative to the elements	-0.581	eV/atom
raw total energy	-100.586	eV per cell
space group	P4/mmm (123)
total magnetic moment	0.29	μB/atom

Record 11
Below is crystalline PaFeRh2 at its relaxed geometry, with properties calculated at the PBE level.

Lattice parameters (Å, degrees): 4.6015 4.6015 11.1981 90.00 90.00 120.00
Atoms (fractional coordinates):
Pa: 0.0000 0.0000 0.0000
Pa: 0.3333 0.6667 0.6667
Pa: 0.6667 0.3333 0.3333
Fe: 0.0000 0.0000 0.5000
Fe: 0.3333 0.6667 0.1667
Fe: 0.6667 0.3333 0.8333
Rh: 0.0000 0.0000 0.2606
Rh: 0.0000 0.0000 0.7394
Rh: 0.3333 0.6667 0.4061
Rh: 0.3333 0.6667 0.9273
Rh: 0.6667 0.3333 0.0727
Rh: 0.6667 0.3333 0.5939

## Properties
energy above the lowest structure with this stoichiometry	269.5	meV per atom
DOS(E_F)	15.0	states/eV per cell
energy relative to the elements	-0.348	eV/atom
raw total energy	-102.159	eV per cell
space group	R-3m (166)
total magnetic moment	0.64	μB/atom

Record 12
Below is crystalline PaFeRh2 at its relaxed geometry, with properties calculated at the PBE level.

Lattice parameters (Å, degrees): 4.0965 4.0965 3.8938 90.00 90.00 90.00
Atoms (fractional coordinates):
Pa: 0.0000 0.0000 0.0000
Fe: 0.5000 0.5000 0.0000
Rh: 0.0000 0.5000 0.5000
Rh: 0.5000 0.0000 0.5000

## Properties
energy above the lowest structure with this stoichiometry	0.0	meV per atom
DOS(E_F)	3.1	states/eV per cell
energy relative to the elements	-0.617	eV/atom
raw total energy	-35.131	eV per cell
space group	P4/mmm (123)
total magnetic moment	0.61	μB/atom